1.
Density functional theory data (PBE) for crystalline LaPaCo at its relaxed geometry.

Properties
D(E_F) ... 6.52 states/eV/cell
VASP energy ... -7.33 eV per atom
Volume ... 138.9 Å³/cell
Calculated formation energy ... -149 meV/atom
Total magnetization ... 0.00 μB/cell
Distance to the lowest polymorph of the same formula ... 92 meV per atom

a b c (Å): 3.459 3.459 11.608
angles (deg): 90.00 90.00 90.00
Space group I4mm (No. 107)
Symmetry-distinct sites (fractional):
1 La 0.000 0.000 0.000
2 Pa 0.000 0.000 0.709
3 Co 0.000 0.000 0.288

---

2.
Density functional theory data (PBE) for crystalline Pr4In5Au2 at its relaxed geometry.

Properties
D(E_F) ... 8.94 states/eV/cell
VASP energy ... -4.13 eV per atom
Volume ... 302.3 Å³/cell
Calculated formation energy ... -553 meV/atom
Total magnetization ... 0.00 μB/cell

a b c (Å): 7.962 3.720 10.237
angles (deg): 90.00 94.37 90.00
Space group P2/m (No. 10)
Symmetry-distinct sites (fractional):
1 Pr 0.172 0.000 0.373
2 Pr 0.251 0.000 0.944
3 In 0.189 0.500 0.659
4 In 0.449 0.500 0.196
5 In 0.500 0.500 0.500
6 Au 0.066 0.500 0.137

---

3.
Density functional theory data (PBE) for crystalline Cd2CoAg at its relaxed geometry.

Properties
D(E_F) ... 2.76 states/eV/cell
VASP energy ... -2.73 eV per atom
Volume ... 69.8 Å³/cell
Calculated formation energy ... 212 meV/atom
Total magnetization ... 1.34 μB/cell

a b c (Å): 4.351 4.351 3.687
angles (deg): 90.00 90.00 90.00
Space group P4/mmm (No. 123)
Symmetry-distinct sites (fractional):
1 Cd 0.000 0.500 0.000
2 Co 0.000 0.000 0.500
3 Ag 0.500 0.500 0.500